Here is a relaxed LiPmPaRu crystal from the Alexandria database. Energies are from PBE.

Results
formation enthalpy at 0 K = 2 kJ per mole of atoms
DFT total energy = -101.45 eV per cell
volume = 21.400 Å³ per atom
space-group type = F-43m (216)

Unit cell a=6.9959 b=6.9959 c=6.9959 alpha=90.00 beta=90.00 gamma=90.00
Fractional positions:
Li 0.0000 0.0000 0.0000
Li 0.0000 0.5000 0.5000
Li 0.5000 0.0000 0.5000
Li 0.5000 0.5000 0.0000
Pm 0.2500 0.2500 0.2500
Pm 0.2500 0.7500 0.7500
Pm 0.7500 0.2500 0.7500
Pm 0.7500 0.7500 0.2500
Pa 0.2500 0.2500 0.7500
Pa 0.2500 0.7500 0.2500
Pa 0.7500 0.2500 0.2500
Pa 0.7500 0.7500 0.7500
Ru 0.0000 0.0000 0.5000
Ru 0.0000 0.5000 0.0000
Ru 0.5000 0.0000 0.0000
Ru 0.5000 0.5000 0.5000

Here is a relaxed PmTi2AgO6 crystal from the Alexandria database. Energies are from PBE.

Results
DFT total energy = -159.05 eV per cell
volume = 14.737 Å³ per atom
space-group type = C2/c (15)

Unit cell a=7.2339 b=7.2339 c=5.8541 alpha=99.94 beta=99.94 gamma=81.11
Fractional positions:
Pm 0.1893 0.8107 0.7500
Pm 0.8107 0.1893 0.2500
Ti 0.0970 0.3059 0.7567
Ti 0.3059 0.0970 0.2567
Ti 0.6941 0.9030 0.7433
Ti 0.9030 0.6941 0.2433
Ag 0.4445 0.5555 0.2500
Ag 0.5555 0.4445 0.7500
O 0.1108 0.1625 0.0070
O 0.1363 0.6284 0.3713
O 0.1625 0.1108 0.5070
O 0.2252 0.5066 0.8337
O 0.3716 0.8637 0.1287
O 0.4934 0.7748 0.6663
O 0.5066 0.2252 0.3337
O 0.6284 0.1363 0.8713
O 0.7748 0.4934 0.1663
O 0.8375 0.8892 0.4930
O 0.8637 0.3716 0.6287
O 0.8892 0.8375 0.9930

Here is a relaxed MnCoTc2 crystal from the Alexandria database. Energies are from PBE.

Results
formation enthalpy at 0 K = 10 kJ per mole of atoms
polymorph energy (0 for the lowest one) = 10.7 kJ per mole of atoms
DFT total energy = -36.57 eV per cell
volume = 12.841 Å³ per atom
space-group type = P4mm (99)

Unit cell a=2.6374 b=2.6374 c=7.3844 alpha=90.00 beta=90.00 gamma=90.00
Fractional positions:
Mn 0.0000 0.0000 0.0000
Co 0.5000 0.5000 0.7726
Tc 0.0000 0.0000 0.5335
Tc 0.5000 0.5000 0.2465